(1)
## TiZnTcRh (GGA-PBE)

Data for an optimized crystal structure of TiZnTcRh.

Calculated values
Volume in Å³/atom: 14.4
Space group: F-43m, No. 216
N(E_F) in states/eV/cell: 5.126

```
TiZnTcRh
1.0
4.3392 0.0000 0.0000
2.1696 3.7578 0.0000
2.1696 1.2526 3.5429
Rh Ti Tc Zn
1 1 1 1
Cartesian
0.0000 0.0000 0.0000
6.5088 3.7578 2.6572
4.3392 2.5052 1.7715
2.1696 1.2526 0.8857
```

***

(2)
## ZrTiTcRh (GGA-PBE)

Data for an optimized crystal structure of ZrTiTcRh.

Calculated values
Volume in Å³/atom: 16.4
E above lowest polymorph in meV/atom: 0.0
Space group: P4mm, No. 99
N(E_F) in states/eV/cell: 1.315

```
ZrTiTcRh
1.0
-0.9477 -2.6516 1.5433
2.5194 -1.5944 -1.1922
3.4757 1.7054 5.0643
Zr Tc Rh Ti
1 1 1 1
Cartesian
1.1715 -1.9337 0.7375
1.2951 0.6355 1.8871
2.9385 1.4419 4.2816
2.8676 -1.1015 3.2087
```

***

(3)
## ZrTiTcRh (GGA-PBE)

Data for an optimized crystal structure of ZrTiTcRh.

Calculated values
Volume in Å³/atom: 16.4
E above lowest polymorph in meV/atom: 31.6
Space group: F-43m, No. 216
N(E_F) in states/eV/cell: 2.307

```
ZrTiTcRh
1.0
-2.7718 -2.7568 -2.2817
-1.1021 -4.0367 1.7262
-4.2009 -0.7441 1.5125
Ti Zr Rh Tc
1 1 1 1
Cartesian
-2.0187 -1.8844 0.2393
-6.0561 -5.6532 0.7178
-4.0374 -3.7688 0.4785
0.0000 0.0000 0.0000
```

***

Number 1: formation enthalpy at 0 K -0.3433 eV/atom. Number 2: formation enthalpy at 0 K -0.6707 eV/atom. Number 3: formation enthalpy at 0 K -0.6391 eV/atom.